Entry 1:
# AgB3S

A crystal of AgB3S relaxed with PBEsol (meta-GGA SCAN, Alexandria via LeMat-Bulk).

extended XYZ file:
```
5
Lattice="4.150 0.000 0.000 0.000 4.150 0.000 0.000 0.000 4.150" Properties=species:S:1:pos:R:3 pbc="T T T"
B 2.075 0.000 0.000
B 0.000 0.000 2.075
B 0.000 2.075 0.000
S 2.075 2.075 2.075
Ag 0.000 0.000 0.000
```

Output
- SG = Pm-3m (221)


Entry 2:
# AgBS2

A crystal of AgBS2 relaxed with PBEsol (meta-GGA SCAN, Alexandria via LeMat-Bulk).

extended XYZ file:
```
8
Lattice="-4.004 3.398 -1.190 -0.615 -5.520 -1.509 -3.417 -3.026 2.856" Properties=species:S:1:pos:R:3 pbc="T T T"
S -2.374 -0.742 -0.223
S -4.293 -6.073 1.117
S -5.501 -0.040 0.123
S -3.904 -3.441 -0.703
Ag 0.000 0.000 0.000
Ag -5.873 -2.481 0.495
B -2.163 -2.667 -0.338
B -3.710 0.186 0.833
```

Output
- SG = I-42d (122)


Entry 3:
# AgBSeS2

A crystal of AgBSeS2 relaxed with PBEsol (meta-GGA SCAN, Alexandria via LeMat-Bulk).

extended XYZ file:
```
5
Lattice="-0.767 2.223 3.378 1.827 -2.877 2.308 4.044 2.162 -0.505" Properties=species:S:1:pos:R:3 pbc="T T T"
S 0.913 -1.438 1.154
S -0.383 1.111 1.689
B 0.000 0.000 0.000
Se 2.022 1.081 -0.253
Ag 2.552 0.754 2.590
```

Output
- SG = P4/mmm (123)


Entry 4:
# ZnAgB2S

A crystal of ZnAgB2S relaxed with PBEsol (meta-GGA SCAN, Alexandria via LeMat-Bulk).

extended XYZ file:
```
5
Lattice="3.824 0.000 0.000 0.000 3.824 0.000 0.000 0.000 5.229" Properties=species:S:1:pos:R:3 pbc="T T T"
Ag 0.000 0.000 2.615
S 1.912 1.912 2.615
Zn 0.000 0.000 0.000
B 1.912 0.000 0.000
B 0.000 1.912 0.000
```

Output
- SG = P4/mmm (123)


Entry 5:
# AgBSe2

A crystal of AgBSe2 relaxed with PBEsol (meta-GGA SCAN, Alexandria via LeMat-Bulk).

extended XYZ file:
```
8
Lattice="5.677 0.000 0.000 -2.839 5.419 0.039 0.000 -3.009 4.814" Properties=species:S:1:pos:R:3 pbc="T T T"
Ag 0.000 0.000 0.000
Ag 0.000 0.453 3.630
B 2.839 1.957 1.223
B 2.839 -1.504 2.407
Se 3.828 -1.278 4.222
Se -1.419 2.411 2.674
Se 1.849 0.226 1.815
Se 1.419 3.460 0.996
```

Output
- SG = I-42d (122)


Entry 6:
# Si3AgB

A crystal of Si3AgB relaxed with PBEsol (meta-GGA SCAN, Alexandria via LeMat-Bulk).

extended XYZ file:
```
5
Lattice="-1.562 2.865 -2.539 -3.551 -2.108 -0.194 -1.429 2.107 3.257" Properties=species:S:1:pos:R:3 pbc="T T T"
B 0.000 0.000 0.000
Si -1.776 -1.054 -0.097
Si -0.781 1.433 -1.269
Si -0.714 1.054 1.629
Ag -3.271 1.432 0.262
```

Output
- SG = Pm-3m (221)


Entry 7:
# SrTaAgB2

A crystal of SrTaAgB2 relaxed with PBEsol (meta-GGA SCAN, Alexandria via LeMat-Bulk).

extended XYZ file:
```
5
Lattice="-2.140 -3.659 0.032 3.658 -2.140 -0.085 0.108 -0.019 5.163" Properties=species:S:1:pos:R:3 pbc="T T T"
B 1.829 -1.070 -0.042
B -1.070 -1.829 0.016
Sr 0.054 -0.009 2.582
Ta 0.813 -2.909 2.555
Ag 0.000 0.000 0.000
```

Output
- energy of formation from the pure elements (eV/atom) = 2.124
- SG = P4/mmm (123)


Entry 8:
# Ta2AgB

A crystal of Ta2AgB relaxed with PBEsol (meta-GGA SCAN, Alexandria via LeMat-Bulk).

extended XYZ file:
```
8
Lattice="-5.128 -1.173 -1.062 -1.162 -4.185 -3.328 -2.665 -3.536 3.215" Properties=species:S:1:pos:R:3 pbc="T T T"
Ag -5.760 -4.740 -0.853
Ag 0.000 0.000 0.000
B -2.564 -0.586 -0.531
B -3.196 -4.154 -0.322
Ta -7.654 -6.689 0.275
Ta -3.204 -5.753 -1.903
Ta -2.584 -2.498 -1.715
Ta -4.469 -2.848 0.994
```

Output
- energy of formation from the pure elements (eV/atom) = 0.488
- SG = I-42d (122)


Entry 9:
# TcAg3B

A crystal of TcAg3B relaxed with PBEsol (meta-GGA SCAN, Alexandria via LeMat-Bulk).

extended XYZ file:
```
5
Lattice="4.255 0.000 0.000 0.000 4.255 0.000 0.000 0.000 4.255" Properties=species:S:1:pos:R:3 pbc="T T T"
B 0.000 0.000 0.000
Ag 0.000 2.128 0.000
Ag 2.128 0.000 0.000
Ag 0.000 0.000 2.128
Tc 2.128 2.128 2.128
```

Output
- energy of formation from the pure elements (eV/atom) = 0.931
- SG = Pm-3m (221)


Entry 10:
# Ag2BTe

A crystal of Ag2BTe relaxed with PBEsol (meta-GGA SCAN, Alexandria via LeMat-Bulk).

extended XYZ file:
```
8
Lattice="-4.135 1.124 -1.875 -0.147 -4.145 -2.161 -1.228 -1.350 7.734" Properties=species:S:1:pos:R:3 pbc="T T T"
Ag -3.581 -2.446 3.515
Ag -1.473 -1.846 5.058
Ag -3.526 -1.032 -0.312
Ag -2.440 -3.420 -0.867
B -3.752 -0.868 1.920
B -2.141 -1.510 -2.018
Te -1.758 -3.503 1.777
Te 0.000 0.000 0.000
```

Output
- SG = I-42d (122)


Entry 11:
# AgB2Te

A crystal of AgB2Te relaxed with PBEsol (meta-GGA SCAN, Alexandria via LeMat-Bulk).

extended XYZ file:
```
8
Lattice="-1.831 4.878 -0.205 -4.849 -1.842 -0.530 2.804 -1.514 5.260" Properties=species:S:1:pos:R:3 pbc="T T T"
Ag -3.340 1.518 -0.367
Ag -1.184 2.441 2.344
B -2.692 3.127 0.940
B 1.196 -0.783 3.845
B -2.001 0.789 3.493
B -4.256 -0.089 0.771
Te -2.693 -0.919 2.181
Te 0.000 0.000 0.000
```

Output
- SG = I-42d (122)


Entry 12:
# Ti3AgB

A crystal of Ti3AgB relaxed with PBEsol (meta-GGA SCAN, Alexandria via LeMat-Bulk).

extended XYZ file:
```
5
Lattice="-3.205 -2.126 2.700 -2.085 -1.733 -3.839 2.732 -3.816 0.239" Properties=species:S:1:pos:R:3 pbc="T T T"
Ti 1.366 -1.908 0.119
Ti -1.042 -0.866 -1.919
Ti -1.603 -1.063 1.350
Ag 0.000 0.000 0.000
B -1.279 -3.837 -0.450
```

Output
- energy of formation from the pure elements (eV/atom) = 1.753
- SG = Pm-3m (221)


Entry 13:
# Tl3AgB

A crystal of Tl3AgB relaxed with PBEsol (meta-GGA SCAN, Alexandria via LeMat-Bulk).

extended XYZ file:
```
5
Lattice="5.321 0.000 0.000 0.000 5.321 0.000 0.000 0.000 5.321" Properties=species:S:1:pos:R:3 pbc="T T T"
Ag 0.000 0.000 0.000
Tl 0.000 2.660 0.000
Tl 0.000 0.000 2.660
Tl 2.660 0.000 0.000
B 2.660 2.660 2.660
```

Output
- energy of formation from the pure elements (eV/atom) = 1.226
- SG = Pm-3m (221)


Entry 14:
# AgB3W

A crystal of AgB3W relaxed with PBEsol (meta-GGA SCAN, Alexandria via LeMat-Bulk).

extended XYZ file:
```
5
Lattice="-0.403 -3.652 -1.518 1.615 1.241 -3.414 3.610 -0.963 1.358" Properties=species:S:1:pos:R:3 pbc="T T T"
Ag 0.000 0.000 0.000
B 0.808 0.621 -1.707
B -0.201 -1.826 -0.759
B 1.805 -0.481 0.679
W 2.411 -1.687 -1.787
```

Output
- energy of formation from the pure elements (eV/atom) = 2.612
- SG = Pm-3m (221)
- E above lowest polymorph (eV per atom) = 1.2411


Entry 15:
# AgB3W

A crystal of AgB3W relaxed with PBEsol (meta-GGA SCAN, Alexandria via LeMat-Bulk).

extended XYZ file:
```
5
Lattice="4.149 0.000 0.000 0.000 4.149 0.000 0.000 0.000 4.149" Properties=species:S:1:pos:R:3 pbc="T T T"
B 2.075 0.000 0.000
B 0.000 0.000 2.075
B 0.000 2.075 0.000
Ag 2.075 2.075 2.075
W 0.000 0.000 0.000
```

Output
- energy of formation from the pure elements (eV/atom) = 1.371
- SG = Pm-3m (221)
- E above lowest polymorph (eV per atom) = 0.0000


Entry 16:
# YAg3B

A crystal of YAg3B relaxed with PBEsol (meta-GGA SCAN, Alexandria via LeMat-Bulk).

extended XYZ file:
```
5
Lattice="-0.152 0.172 -4.410 -1.993 -3.940 -0.085 -3.938 1.987 0.213" Properties=species:S:1:pos:R:3 pbc="T T T"
Ag -0.076 0.086 -2.205
Ag -1.969 0.994 0.106
Ag -0.996 -1.970 -0.042
Y -3.041 -0.891 -2.141
B 0.000 0.000 0.000
```

Output
- energy of formation from the pure elements (eV/atom) = 0.082
- SG = Pm-3m (221)


Entry 17:
# ZnAgB2

A crystal of ZnAgB2 relaxed with PBEsol (meta-GGA SCAN, Alexandria via LeMat-Bulk).

extended XYZ file:
```
8
Lattice="5.182 0.021 -0.033 -2.118 4.730 0.033 2.118 1.998 4.287" Properties=species:S:1:pos:R:3 pbc="T T T"
Ag 0.000 0.000 0.000
Ag 2.591 1.693 1.063
Zn 0.000 3.364 2.160
Zn 2.591 5.056 3.224
B 4.617 5.353 2.675
B 4.215 2.327 3.688
B 2.026 3.739 1.662
B -0.494 2.079 0.548
```

Output
- energy of formation from the pure elements (eV/atom) = 1.350
- SG = I-42d (122)


Entry 18:
# Zr3AgB

A crystal of Zr3AgB relaxed with PBEsol (meta-GGA SCAN, Alexandria via LeMat-Bulk).

extended XYZ file:
```
5
Lattice="-0.150 2.450 3.852 -3.739 -2.277 1.302 2.619 -3.110 2.080" Properties=species:S:1:pos:R:3 pbc="T T T"
Zr -1.869 -1.139 0.651
Zr -0.075 1.225 1.926
Zr 1.309 -1.555 1.040
B 0.000 0.000 0.000
Ag -0.635 -1.469 3.617
```

Output
- energy of formation from the pure elements (eV/atom) = -0.176
- SG = Pm-3m (221)


Entry 19:
# Ba3Ag

A crystal of Ba3Ag relaxed with PBEsol (meta-GGA SCAN, Alexandria via LeMat-Bulk).

extended XYZ file:
```
4
Lattice="4.108 0.000 0.000 0.000 4.108 0.000 0.000 0.000 10.666" Properties=species:S:1:pos:R:3 pbc="T T T"
Ag 0.000 0.000 0.000
Ba 2.054 2.054 1.894
Ba 0.000 0.000 5.333
Ba 2.054 2.054 8.772
```

Output
- energy of formation from the pure elements (eV/atom) = -0.119
- SG = P4/mmm (123)
- E above lowest polymorph (eV per atom) = 0.0000


Entry 20:
# BaAg

A crystal of BaAg relaxed with PBEsol (meta-GGA SCAN, Alexandria via LeMat-Bulk).

extended XYZ file:
```
4
Lattice="4.773 0.000 0.000 2.386 4.134 0.000 2.387 1.378 7.978" Properties=species:S:1:pos:R:3 pbc="T T T"
Ba 2.387 1.378 5.920
Ba 7.159 4.134 2.059
Ag 2.387 1.378 0.008
Ag 7.160 4.134 7.971
```

Output
- energy of formation from the pure elements (eV/atom) = -0.245
- SG = R-3m (166)


no.,raw total energy (eV per atom)
1,-10.661
2,-14.847
3,-14.852
4,-12.525
5,-19.858
6,-12.929
7,-24.893
8,-42.503
9,-26.387
10,-26.146
11,-19.802
12,-15.624
13,-49.948
14,-22.057
15,-23.298
16,-25.792
17,-13.585
18,-26.355
19,-37.623
20,-35.703